Material: TaCdIN2
Method: DFT, PBE
State: optimized geometry

Cell lengths 4.188, 4.188, 5.564 Å; angles 90.00, 90.00, 90.00 degrees
Atoms (fractional coordinates):
N  0.000  0.500  0.000
Cd  0.000  0.000  0.000
Ta  0.500  0.500  0.500
N  0.500  0.000  0.000
I  0.000  0.000  0.500

Results
E_form (uncorrected) in meV per atom: 2350
Spin magnetization in μB per formula unit: 0.01
Space-group type: P4/mmm